[1]
Computed, not measured: TbBi4Pd15 after structural relaxation at the PBE level of DFT. Values from VASP.

## Properties
* energy of formation from the pure elements: -362 meV/atom
* total magnetization: 0.0 Bohr magnetons per cell
* energy: -5.2643 eV per atom

Structure (Quantum ESPRESSO input):
```
&SYSTEM
  ibrav = 0, nat = 20, ntyp = 3
/
ATOMIC_SPECIES
Pd 106.42 Pd.upf
Bi 208.98 Bi.upf
Tb 158.93 Tb.upf
CELL_PARAMETERS angstrom
-0.745 -2.588 -3.148
4.032 -0.933 -0.187
-2.946 -15.425 13.380
ATOMIC_POSITIONS crystal
Pd 0.000 0.500 0.100
Pd 0.500 0.500 0.600
Pd 0.500 0.500 0.000
Pd 0.500 0.000 0.100
Pd 0.000 0.500 0.500
Bi 0.000 0.000 0.198
Pd 0.500 0.000 0.700
Pd 0.000 0.500 0.700
Pd 0.500 0.000 0.900
Bi 0.000 0.000 0.600
Pd 0.500 0.000 0.300
Pd 0.500 0.500 0.400
Pd 0.500 0.500 0.202
Pd 0.500 0.500 0.798
Pd 0.500 0.000 0.500
Bi 0.000 0.000 0.802
Tb 0.000 0.000 0.000
Pd 0.000 0.500 0.300
Bi 0.000 0.000 0.400
Pd 0.000 0.500 0.900
```



[2]
Computed, not measured: TbBi2Pd8 after structural relaxation at the PBE level of DFT. Values from VASP.

## Properties
* energy of formation from the pure elements: -333 meV/atom
* total magnetization: 0.0 Bohr magnetons per cell
* energy: -5.2363 eV per atom

Structure (Quantum ESPRESSO input):
```
&SYSTEM
  ibrav = 0, nat = 11, ntyp = 3
/
ATOMIC_SPECIES
Pd 106.42 Pd.upf
Bi 208.98 Bi.upf
Tb 158.93 Tb.upf
CELL_PARAMETERS angstrom
5.046 -0.566 -0.849
-1.691 7.371 -0.679
-1.691 -3.465 6.541
ATOMIC_POSITIONS crystal
Pd 0.312 0.572 0.572
Pd 0.871 0.677 0.903
Bi 0.000 0.691 0.309
Pd 0.129 0.323 0.097
Pd 0.129 0.097 0.323
Pd 0.500 0.218 0.782
Tb 0.500 0.000 0.000
Pd 0.500 0.782 0.218
Pd 0.688 0.428 0.428
Bi 0.000 0.309 0.691
Pd 0.871 0.903 0.677
```



[3]
Computed, not measured: TbBiPd3 after structural relaxation at the PBE level of DFT. Values from VASP.

## Properties
* energy of formation from the pure elements: -654 meV/atom
* total magnetization: 0.0 Bohr magnetons per cell
* energy: -5.4719 eV per atom

Structure (Quantum ESPRESSO input):
```
&SYSTEM
  ibrav = 0, nat = 20, ntyp = 3
/
ATOMIC_SPECIES
Tb 158.93 Tb.upf
Pd 106.42 Pd.upf
Bi 208.98 Bi.upf
CELL_PARAMETERS angstrom
5.842 0.000 0.000
0.000 7.509 0.445
0.000 -0.489 9.453
ATOMIC_POSITIONS crystal
Tb 0.250 0.364 0.876
Pd 0.515 0.261 0.627
Pd 0.985 0.261 0.127
Pd 0.750 0.416 0.376
Pd 0.750 0.416 0.876
Tb 0.750 0.636 0.624
Bi 0.750 0.052 0.376
Bi 0.250 0.948 0.624
Pd 0.250 0.584 0.124
Pd 0.015 0.739 0.873
Bi 0.750 0.052 0.876
Pd 0.250 0.584 0.624
Pd 0.515 0.261 0.127
Bi 0.250 0.948 0.124
Tb 0.250 0.364 0.376
Pd 0.985 0.261 0.627
Pd 0.015 0.739 0.373
Tb 0.750 0.636 0.124
Pd 0.485 0.739 0.873
Pd 0.485 0.739 0.373
```